# 1
First-principles (PBE-GGA) data for a relaxed structure of Tb5Nd4Th2, as listed in the Alexandria database.

Structure (POSCAR):
```
Tb5Nd4Th2
1.0
3.6110 0.0000 0.0000
1.7848 9.3795 0.0000
0.0007 0.7303 10.7941
Tb Nd Th
5 4 2
Direct
0.0000 0.0000 0.0000
0.2740 0.4519 0.3609
0.4515 0.0961 0.2681
0.5485 0.9039 0.7319
0.7260 0.5481 0.6391
0.0878 0.8222 0.4549
0.3617 0.2782 0.8246
0.6383 0.7218 0.1754
0.9122 0.1778 0.5451
0.1829 0.6334 0.9073
0.8171 0.3666 0.0927
```

* E_form: 0.03 eV/atom
* symmetry: P-1
* density of states at the Fermi level: 1.344 states/eV/atom
* spin magnetization: 0.00 Bohr magnetons per cell
* excess energy over the best structure of this formula in the dataset: 0.000 eV/atom
* energy: -56.76 eV per formula unit

---

# 2
First-principles (PBE-GGA) data for a relaxed structure of Tb2Nd5Th, as listed in the Alexandria database.

Structure (POSCAR):
```
Tb2Nd5Th
1.0
7.2664 0.0000 0.0000
0.0000 14.5402 0.0000
0.0000 0.0000 5.1525
Tb Nd Th
4 10 2
Direct
0.2407 0.1220 0.0000
0.2593 0.6220 0.0000
0.7407 0.3780 0.0000
0.7593 0.8780 0.0000
0.0000 0.5000 0.5000
0.0051 0.7516 0.5000
0.2467 0.8772 0.0000
0.2533 0.3772 0.0000
0.4949 0.2516 0.5000
0.5000 0.0000 0.5000
0.5051 0.7484 0.5000
0.7467 0.6228 0.0000
0.7533 0.1228 0.0000
0.9949 0.2484 0.5000
0.0000 0.0000 0.5000
0.5000 0.5000 0.5000
```

* E_form: 0.03 eV/atom
* symmetry: Pbam
* density of states at the Fermi level: 1.332 states/eV/atom
* spin magnetization: 0.00 Bohr magnetons per cell
* energy: -40.29 eV per formula unit

---

# 3
First-principles (PBE-GGA) data for a relaxed structure of Tb12Nd3Th, as listed in the Alexandria database.

Structure (POSCAR):
```
Tb12Nd3Th
1.0
5.0695 0.0000 0.0000
0.0000 5.0695 0.0000
0.0000 0.0000 20.2625
Tb Nd Th
12 3 1
Direct
0.0000 0.0000 0.0000
0.0000 0.0000 0.2496
0.0000 0.0000 0.5000
0.0000 0.0000 0.7504
0.0000 0.5000 0.1220
0.0000 0.5000 0.3743
0.0000 0.5000 0.6257
0.0000 0.5000 0.8780
0.5000 0.0000 0.1220
0.5000 0.0000 0.3743
0.5000 0.0000 0.6257
0.5000 0.0000 0.8780
0.5000 0.5000 0.2488
0.5000 0.5000 0.5000
0.5000 0.5000 0.7512
0.5000 0.5000 0.0000
```

* E_form: 0.02 eV/atom
* symmetry: P4/mmm
* density of states at the Fermi level: 1.393 states/eV/atom
* spin magnetization: 0.00 Bohr magnetons per cell
* energy: -76.95 eV per formula unit